Entry from Alexandria: a relaxed structure of SiNi3Mo2 (PBEsol).

Output
DOS at the Fermi energy = 12.64 states/eV/cell
density = 9245 kg/m³
distance to the lowest polymorph of the same formula = 0 meV per atom
M_tot = 0.0 Bohr magnetons per cell
total DFT energy (no corrections) = -8.35 eV per atom

abc: 4.694 4.694 7.456
angles: 90.00 90.00 120.00
Fractional positions:
Si 0.000 0.000 0.000
Si 0.000 0.000 0.500
Ni 0.170 0.339 0.250
Ni 0.170 0.830 0.250
Ni 0.339 0.170 0.750
Ni 0.661 0.830 0.250
Ni 0.830 0.170 0.750
Ni 0.830 0.661 0.750
Mo 0.333 0.667 0.565
Mo 0.333 0.667 0.935
Mo 0.667 0.333 0.065
Mo 0.667 0.333 0.435

=====

Entry from Alexandria: a relaxed structure of SiNiMo (PBEsol).

Output
DOS at the Fermi energy = 1.58 states/eV/cell
density = 7911 kg/m³
M_tot = 0.0 Bohr magnetons per cell
total DFT energy (no corrections) = -8.02 eV per atom

abc: 2.696 2.696 6.093
angles: 90.00 90.00 120.00
Fractional positions:
Si 0.000 0.000 0.000
Ni 0.667 0.333 0.293
Mo 0.333 0.667 0.645

=====

Entry from Alexandria: a relaxed structure of SiNiMo2 (PBEsol).

Output
DOS at the Fermi energy = 2.24 states/eV/cell
density = 8709 kg/m³
M_tot = 0.0 Bohr magnetons per cell
total DFT energy (no corrections) = -9.03 eV per atom

abc: 3.309 3.954 4.060
angles: 90.00 90.00 90.00
Fractional positions:
Si 0.000 0.000 0.000
Ni 0.500 0.500 0.000
Mo 0.000 0.500 0.500
Mo 0.500 0.000 0.500

=====

Entry from Alexandria: a relaxed structure of SiNiMo2 (PBEsol).

Output
DOS at the Fermi energy = 2.66 states/eV/cell
density = 8788 kg/m³
M_tot = 0.0 Bohr magnetons per cell
total DFT energy (no corrections) = -9.08 eV per atom

abc: 4.839 4.839 4.524
angles: 107.84 107.84 31.63
Fractional positions:
Si 0.000 0.000 0.000
Ni 0.298 0.298 0.701
Mo 0.548 0.548 0.535
Mo 0.755 0.755 0.178

=====

Entry from Alexandria: a relaxed structure of Si2NiMo (PBEsol).

Output
DOS at the Fermi energy = 2.64 states/eV/cell
density = 6966 kg/m³
M_tot = 0.0 Bohr magnetons per cell
total DFT energy (no corrections) = -7.61 eV per atom

abc: 4.549 4.549 4.549
angles: 137.67 126.02 70.89
Fractional positions:
Si 0.236 0.236 0.000
Si 0.764 0.764 0.000
Ni 0.000 0.500 0.500
Mo 0.500 0.000 0.500

=====

Entry from Alexandria: a relaxed structure of SiNi3Mo2 (PBEsol).

Output
DOS at the Fermi energy = 10.05 states/eV/cell
density = 9211 kg/m³
distance to the lowest polymorph of the same formula = 75 meV per atom
M_tot = 0.0 Bohr magnetons per cell
total DFT energy (no corrections) = -8.28 eV per atom

abc: 7.513 4.664 4.664
angles: 60.89 90.00 90.00
Fractional positions:
Si 0.000 0.247 0.753
Si 0.000 0.753 0.247
Ni 0.000 0.237 0.237
Ni 0.242 0.425 0.425
Ni 0.500 0.082 0.589
Ni 0.500 0.589 0.082
Ni 0.500 0.590 0.590
Ni 0.758 0.425 0.425
Mo 0.190 0.756 0.756
Mo 0.318 0.085 0.085
Mo 0.682 0.085 0.085
Mo 0.810 0.756 0.756

=====

Entry from Alexandria: a relaxed structure of SiNi2Mo (PBEsol).

Output
DOS at the Fermi energy = 2.64 states/eV/cell
density = 8343 kg/m³
M_tot = 0.0 Bohr magnetons per cell
total DFT energy (no corrections) = -7.74 eV per atom

abc: 3.743 5.048 5.048
angles: 30.25 90.00 90.00
Fractional positions:
Si 0.000 0.000 0.000
Ni 0.000 0.733 0.733
Ni 0.500 0.121 0.121
Mo 0.500 0.372 0.372

=====

Entry from Alexandria: a relaxed structure of SiNi2Mo (PBEsol).

Output
DOS at the Fermi energy = 3.08 states/eV/cell
density = 8347 kg/m³
M_tot = 0.0 Bohr magnetons per cell
total DFT energy (no corrections) = -7.67 eV per atom

abc: 4.896 4.896 4.896
angles: 147.98 128.79 61.68
Fractional positions:
Si 0.000 0.000 0.000
Ni 0.216 0.716 0.500
Ni 0.474 0.474 0.000
Mo 0.746 0.246 0.500

=====

Entry from Alexandria: a relaxed structure of SiNi2Mo (PBEsol).

Output
DOS at the Fermi energy = 2.97 states/eV/cell
density = 8317 kg/m³
M_tot = 0.0 Bohr magnetons per cell
total DFT energy (no corrections) = -7.61 eV per atom

abc: 8.142 8.142 8.142
angles: 18.65 18.65 18.65
Fractional positions:
Si 0.000 0.000 0.000
Ni 0.258 0.258 0.258
Ni 0.742 0.742 0.742
Mo 0.500 0.500 0.500

=====

Entry from Alexandria: a relaxed structure of NiSnMo3 (PBEsol).

Output
formation enthalpy at 0 K = 2.70 eV/atom
DOS at the Fermi energy = 8.60 states/eV/cell
density = 7009 kg/m³
M_tot = 0.7 Bohr magnetons per cell
total DFT energy (no corrections) = -6.44 eV per atom

abc: 4.795 4.795 4.795
angles: 90.00 90.00 90.00
Fractional positions:
Ni 0.000 0.000 0.000
Sn 0.500 0.500 0.500
Mo 0.000 0.500 0.500
Mo 0.500 0.000 0.500
Mo 0.500 0.500 0.000

=====

Number 1: V 142 Å³/cell. Number 2: V 38 Å³/cell. Number 3: V 53 Å³/cell. Number 4: V 53 Å³/cell. Number 5: V 50 Å³/cell. Number 6: V 143 Å³/cell. Number 7: V 48 Å³/cell. Number 8: V 48 Å³/cell. Number 9: V 48 Å³/cell. Number 10: V 110 Å³/cell.